# 1
Here is a relaxed NbIrRh6 crystal from Alexandria. Energies are from PBE.

Cell lengths 5.188, 5.188, 5.188 Å; angles 88.72, 88.72, 88.72 degrees
Atoms (fractional coordinates):
Rh  0.555  0.165  0.165
Rh  0.835  0.835  0.445
Rh  0.165  0.555  0.165
Rh  0.165  0.165  0.555
Rh  0.835  0.445  0.835
Rh  0.445  0.835  0.835
Ir  0.500  0.500  0.500
Nb  0.000  0.000  0.000

Calculated values
Its total DFT energy (no corrections) is -0.268 hartree per atom. For the formation energy from the elements, the calculation gives 0.58 eV per atom. For the total magnetic moment, the calculation gives 0.0 μB per formula unit. The value obtained for the offset from the most stable computed form is 782 meV/atom. The space-group type is R-3m.

# 2
Here is a relaxed CsCuPt3 crystal from Alexandria. Energies are from PBE.

Cell lengths 5.218, 5.218, 5.218 Å; angles 90.00, 90.00, 90.00 degrees
Atoms (fractional coordinates):
Cu  0.500  0.500  0.500
Cs  0.000  0.000  0.000
Pt  0.000  0.000  0.500
Pt  0.000  0.500  0.000
Pt  0.500  0.000  0.000

Calculated values
Its total DFT energy (no corrections) is -0.086 hartree per atom. For the formation energy from the elements, the calculation gives 2.26 eV per atom. For the total magnetic moment, the calculation gives 0.0 μB per formula unit. The value obtained for the offset from the most stable computed form is 1542 meV/atom. The space-group type is Pm-3m.

# 3
Here is a relaxed La2Te2Se crystal from Alexandria. Energies are from PBE.

Cell lengths 4.591, 7.770, 9.743 Å; angles 90.00, 103.63, 90.00 degrees
Atoms (fractional coordinates):
Se  0.395  0.426  0.790
Se  0.605  0.926  0.210
La  0.183  0.064  0.365
La  0.446  0.063  0.892
La  0.817  0.564  0.635
La  0.554  0.563  0.108
Te  0.807  0.047  0.614
Te  0.036  0.265  0.071
Te  0.964  0.765  0.929
Te  0.193  0.547  0.386

Calculated values
Its total DFT energy (no corrections) is -0.206 hartree per atom. For the total magnetic moment, the calculation gives 0.0 μB per formula unit. Its energy relative to the elements, uncorrected is -1682.4 meV per atom. The value obtained for the offset from the most stable computed form is 63 meV/atom. The space-group type is Cmc2_1.